LiCuTe2OsS after structural relaxation. Source: OQMD via LeMat-Bulk, functional PBE.

The structure belongs to space group Cmcm (No. 63); the cell edges are 3.817, 13.263 and 9.389 Å and the angles 90.00°, 90.00° and 90.00°. The asymmetric unit holds Li at (0.000, 0.240, 0.250), Cu at (0.000, 0.023, 0.750), Te at (0.000, 0.144, 0.536), Os at (0.000, 0.500, 0.000) and S at (0.000, 0.429, 0.750).

As for the uncorrected energy: -4.62 eV per atom.

---

LiCuOsSe3 after structural relaxation. Source: OQMD via LeMat-Bulk, functional PBE.

The structure belongs to space group Cmcm (No. 63); the cell edges are 3.656, 12.459 and 9.460 Å and the angles 90.00°, 90.00° and 90.00°. The asymmetric unit holds Li at (0.000, 0.228, 0.250), Cu at (0.000, 0.459, 0.750), Os at (0.000, 0.000, 0.000), Se at (0.000, 0.090, 0.750) and Se at (0.000, 0.362, 0.539).

As for the uncorrected energy: -4.75 eV per atom.

---

LiCu3OsSe4 after structural relaxation. Source: OQMD via LeMat-Bulk, functional PBE.

The structure belongs to space group P-43m (No. 215); the cell edges are 5.684, 5.684 and 5.684 Å and the angles 90.00°, 90.00° and 90.00°. The asymmetric unit holds Li at (0.000, 0.000, 0.000), Cu at (0.000, 0.500, 0.500), Os at (0.500, 0.500, 0.500) and Se at (0.252, 0.252, 0.252).

As for the uncorrected energy: -4.31 eV per atom.